Crystalline YNb2Fe at its relaxed geometry, computed with GGA-PBE.

POSCAR file:
```
YNb2Fe
1.0
-3.5509 -2.7650 1.1442
-3.5442 1.6808 2.4853
-4.1507 0.6070 -1.9916
Y Nb Fe
1 2 1
direct
0.5000 0.5000 0.5000
0.7500 0.7500 0.7500
0.2500 0.2500 0.2500
0.0000 0.0000 0.0000
```

Summary:
E_form: 0.48 eV/atom
space group: No. 225
size of the total moment: 0.00 μB per atom
offset from the most stable computed form: 0 kJ/mol of formula units

***

Crystalline YNb2Fe9 at its relaxed geometry, computed with GGA-PBE.

POSCAR file:
```
YNb2Fe9
1.0
4.7141 0.0000 1.4030
2.1483 4.1961 1.4030
0.0793 0.0485 8.3547
Nb Fe Y
2 9 1
direct
0.8562 0.8562 0.4314
0.1438 0.1438 0.5686
0.5880 0.5880 0.7411
0.0830 0.5880 0.7411
0.5000 0.5000 0.5000
0.5880 0.0830 0.7411
0.6667 0.6667 0.0000
0.4120 0.4120 0.2589
0.3333 0.3333 0.0000
0.9170 0.4120 0.2589
0.4120 0.9170 0.2589
0.0000 0.0000 0.0000
```

Summary:
E_form: -0.11 eV/atom
space group: No. 166
size of the total moment: 1.32 μB per atom

***

Crystalline YNb2Fe2 at its relaxed geometry, computed with GGA-PBE.

POSCAR file:
```
YNb2Fe2
1.0
7.4612 0.0000 0.0000
0.0000 7.4612 0.0000
0.0000 0.0000 3.0688
Y Nb Fe
2 4 4
direct
0.5000 0.5000 0.0000
0.0000 0.0000 0.0000
0.6507 0.8493 0.5000
0.8493 0.3493 0.5000
0.3493 0.1507 0.5000
0.1507 0.6507 0.5000
0.8732 0.6268 0.0000
0.3732 0.8732 0.0000
0.1268 0.3732 0.0000
0.6268 0.1268 0.0000
```

Summary:
E_form: 0.16 eV/atom
space group: No. 127
size of the total moment: 0.00 μB per atom
offset from the most stable computed form: 103 kJ/mol of formula units

***

Crystalline YNbFe at its relaxed geometry, computed with GGA-PBE.

POSCAR file:
```
YNbFe
1.0
-0.3790 0.1639 5.0370
2.4806 -4.1025 -1.5995
3.1221 4.4008 -1.4839
Y Nb Fe
2 2 2
direct
0.6785 0.3215 0.0000
0.3215 0.6785 0.0000
0.1796 0.1796 0.3591
0.8204 0.8204 0.6409
0.7500 0.2500 0.5000
0.2500 0.7500 0.5000
```

Summary:
E_form: 0.13 eV/atom
space group: No. 69
size of the total moment: 0.14 μB per atom

***

Crystalline YNb2Fe2 at its relaxed geometry, computed with GGA-PBE.

POSCAR file:
```
YNb2Fe2
1.0
-2.8875 3.1288 -0.2904
-2.9182 -2.8164 -1.3281
-4.2539 -0.6554 3.8806
Nb Y Fe
2 1 2
direct
0.7500 0.2500 0.5000
0.2500 0.7500 0.5000
0.0000 0.0000 0.0000
0.3851 0.3851 0.2299
0.6149 0.6149 0.7701
```

Summary:
E_form: -0.06 eV/atom
space group: No. 139
size of the total moment: 0.00 μB per atom
offset from the most stable computed form: 0 kJ/mol of formula units

***

Crystalline YNb2Fe2 at its relaxed geometry, computed with GGA-PBE.

POSCAR file:
```
YNb2Fe2
1.0
7.6204 0.0000 0.0000
0.0000 7.6204 0.0000
0.0000 0.0000 2.8868
Fe Nb Y
4 4 2
direct
0.1428 0.6428 0.5000
0.6428 0.8572 0.5000
0.3572 0.1428 0.5000
0.8572 0.3572 0.5000
0.6450 0.1450 0.0000
0.8550 0.6450 0.0000
0.3550 0.8550 0.0000
0.1450 0.3550 0.0000
0.0000 0.0000 0.0000
0.5000 0.5000 0.0000
```

Summary:
E_form: 0.21 eV/atom
space group: No. 127
size of the total moment: 0.00 μB per atom
offset from the most stable computed form: 131 kJ/mol of formula units

***

Number 1: ρ 7.8 g/cm3. Number 2: ρ 7.8 g/cm3. Number 3: ρ 7.5 g/cm3. Number 4: ρ 6.9 g/cm3. Number 5: ρ 7.1 g/cm3. Number 6: ρ 7.7 g/cm3.